# meta-GGA SCAN Li3HgCl, PBEsol geometry
# E, eV/atom: -17.443
# M_tot, μB/cell: 0.00
# Formation energy from raw total energies, eV/atom: -0.780
data_Li3HgCl
_cell_length_a 4.586
_cell_length_b 4.586
_cell_length_c 4.586
_cell_angle_alpha 90.00
_cell_angle_beta 90.00
_cell_angle_gamma 90.00
_symmetry_space_group_name_H-M 'P m -3 m'
_symmetry_Int_Tables_number 221
_symmetry_space_group_name_Hall '-P 4 2 3'
loop_
_atom_site_label
_atom_site_fract_x
_atom_site_fract_y
_atom_site_fract_z
_atom_site_occupancy
Li1 0.000 0.000 0.500 1
Hg1 0.500 0.500 0.500 1
Cl1 0.000 0.000 0.000 1